The following is a DFT calculation (PBE) of an optimized crystal structure of NpSb2H.

a b c (Å): 7.405 7.405 7.405
angles (deg): 36.44 36.44 36.44
Fractional positions:
Np1 0.000 0.000 0.000
Sb1 0.406 0.406 0.406
Sb2 0.594 0.594 0.594
H1 0.500 0.500 0.500

Summary:
* uncorrected energy: -22.972 eV/cell



The following is a DFT calculation (PBE) of an optimized crystal structure of NpSbH.

a b c (Å): 4.743 4.743 4.743
angles (deg): 125.22 125.22 81.17
Fractional positions:
Np1 0.000 0.000 0.000
Sb1 0.568 0.568 0.000
H1 0.299 0.299 0.000

Summary:
* excess energy over the best structure of this formula in the dataset: 581 meV per atom



The following is a DFT calculation (PBE) of an optimized crystal structure of NpScH.

a b c (Å): 4.675 14.177 5.610
angles (deg): 90.00 90.00 90.00
Fractional positions:
Np1 0.082 0.000 0.201
Np2 0.082 0.500 0.701
Np3 0.418 0.000 0.701
Np4 0.418 0.500 0.201
Np5 0.582 0.000 0.299
Np6 0.582 0.500 0.799
Np7 0.918 0.000 0.799
Np8 0.918 0.500 0.299
Sc1 0.001 0.171 0.499
Sc2 0.001 0.329 0.999
Sc3 0.499 0.671 0.499
Sc4 0.499 0.829 0.999
Sc5 0.501 0.171 0.001
Sc6 0.501 0.329 0.501
Sc7 0.999 0.671 0.001
Sc8 0.999 0.829 0.501
H1 0.248 0.750 0.250
H2 0.248 0.750 0.750
H3 0.252 0.250 0.250
H4 0.252 0.250 0.750
H5 0.748 0.750 0.250
H6 0.748 0.750 0.750
H7 0.752 0.250 0.250
H8 0.752 0.250 0.750

Summary:
* uncorrected energy: -183.291 eV/cell



The following is a DFT calculation (PBE) of an optimized crystal structure of Np3Sc5H12.

a b c (Å): 10.682 10.682 10.682
angles (deg): 109.47 109.47 109.47
Fractional positions:
Np1 0.125 0.250 0.375
Np2 0.125 0.375 0.750
Np3 0.250 0.375 0.125
Np4 0.250 0.875 0.625
Np5 0.375 0.125 0.250
Np6 0.375 0.750 0.125
Np7 0.625 0.250 0.875
Np8 0.625 0.875 0.750
Np9 0.750 0.125 0.375
Np10 0.750 0.625 0.875
Np11 0.875 0.625 0.250
Np12 0.875 0.750 0.625
Sc1 0.000 0.000 0.000
Sc2 0.000 0.000 0.500
Sc3 0.000 0.500 0.000
Sc4 0.000 0.500 0.500
Sc5 0.125 0.750 0.875
Sc6 0.125 0.875 0.250
Sc7 0.250 0.125 0.875
Sc8 0.250 0.625 0.375
Sc9 0.375 0.250 0.625
Sc10 0.375 0.625 0.750
Sc11 0.500 0.000 0.000
Sc12 0.500 0.000 0.500
Sc13 0.500 0.500 0.000
Sc14 0.500 0.500 0.500
Sc15 0.625 0.375 0.250
Sc16 0.625 0.750 0.375
Sc17 0.750 0.375 0.625
Sc18 0.750 0.875 0.125
Sc19 0.875 0.125 0.750
Sc20 0.875 0.250 0.125
H1 0.054 0.218 0.137
H2 0.054 0.336 0.917
H3 0.081 0.718 0.664
H4 0.081 0.863 0.417
H5 0.083 0.637 0.419
H6 0.083 0.946 0.664
H7 0.137 0.054 0.218
H8 0.137 0.583 0.919
H9 0.164 0.218 0.581
H10 0.164 0.446 0.583
H11 0.218 0.137 0.054
H12 0.218 0.581 0.164
H13 0.282 0.336 0.919
H14 0.282 0.446 0.363
H15 0.336 0.917 0.054
H16 0.336 0.919 0.282
H17 0.363 0.282 0.446
H18 0.363 0.581 0.917
H19 0.417 0.081 0.863
H20 0.417 0.836 0.554
H21 0.419 0.083 0.637
H22 0.419 0.836 0.782
H23 0.446 0.363 0.282
H24 0.446 0.583 0.164
H25 0.554 0.417 0.836
H26 0.554 0.637 0.718
H27 0.581 0.164 0.218
H28 0.581 0.917 0.363
H29 0.583 0.164 0.446
H30 0.583 0.919 0.137
H31 0.637 0.419 0.083
H32 0.637 0.718 0.554
H33 0.664 0.081 0.718
H34 0.664 0.083 0.946
H35 0.718 0.554 0.637
H36 0.718 0.664 0.081
H37 0.782 0.419 0.836
H38 0.782 0.863 0.946
H39 0.836 0.554 0.417
H40 0.836 0.782 0.419
H41 0.863 0.417 0.081
H42 0.863 0.946 0.782
H43 0.917 0.054 0.336
H44 0.917 0.363 0.581
H45 0.919 0.137 0.583
H46 0.919 0.282 0.336
H47 0.946 0.664 0.083
H48 0.946 0.782 0.863

Summary:
* uncorrected energy: -465.875 eV/cell



The following is a DFT calculation (PBE) of an optimized crystal structure of NpHSe2.

a b c (Å): 9.194 9.194 5.688
angles (deg): 90.00 90.00 153.32
Fractional positions:
Np1 0.187 0.813 0.500
Np2 0.813 0.187 0.000
H1 0.468 0.532 0.158
H2 0.532 0.468 0.658
Se1 0.203 0.797 0.999
Se2 0.424 0.576 0.930
Se3 0.576 0.424 0.430
Se4 0.797 0.203 0.499

Summary:
* excess energy over the best structure of this formula in the dataset: 0 meV per atom



The following is a DFT calculation (PBE) of an optimized crystal structure of Np2H2Se.

a b c (Å): 5.776 5.776 6.387
angles (deg): 117.94 117.94 87.89
Fractional positions:
Np1 0.075 0.326 0.149
Np2 0.326 0.075 0.649
Np3 0.674 0.925 0.351
Np4 0.925 0.674 0.851
H1 0.013 0.261 0.749
H2 0.261 0.013 0.249
H3 0.739 0.987 0.751
H4 0.987 0.739 0.251
Se1 0.374 0.626 0.750
Se2 0.626 0.374 0.250

Summary:
* uncorrected energy: -76.504 eV/cell



The following is a DFT calculation (PBE) of an optimized crystal structure of NpHSe2.

a b c (Å): 6.994 6.994 6.994
angles (deg): 35.64 35.64 35.64
Fractional positions:
Np1 0.000 0.000 0.000
H1 0.500 0.500 0.500
Se1 0.410 0.410 0.410
Se2 0.590 0.590 0.590

Summary:
* excess energy over the best structure of this formula in the dataset: 54 meV per atom



The following is a DFT calculation (PBE) of an optimized crystal structure of NpHSe2.

a b c (Å): 5.641 3.829 7.356
angles (deg): 90.00 109.71 90.00
Fractional positions:
Np1 0.138 0.250 0.283
Np2 0.862 0.750 0.717
H1 0.037 0.250 0.752
H2 0.963 0.750 0.248
Se1 0.279 0.750 0.059
Se2 0.299 0.750 0.592
Se3 0.701 0.250 0.408
Se4 0.721 0.250 0.941

Summary:
* excess energy over the best structure of this formula in the dataset: 72 meV per atom



The following is a DFT calculation (PBE) of an optimized crystal structure of Np3HSe6.

a b c (Å): 8.780 8.780 6.902
angles (deg): 90.00 90.00 100.79
Fractional positions:
Np1 0.110 0.890 0.500
Np2 0.205 0.424 0.585
Np3 0.424 0.205 0.085
Np4 0.576 0.795 0.585
Np5 0.795 0.576 0.085
Np6 0.890 0.110 0.000
H1 0.380 0.620 0.155
H2 0.620 0.380 0.655
Se1 0.060 0.595 0.317
Se2 0.131 0.190 0.290
Se3 0.190 0.131 0.790
Se4 0.278 0.722 0.757
Se5 0.405 0.940 0.317
Se6 0.469 0.531 0.284
Se7 0.531 0.469 0.784
Se8 0.595 0.060 0.817
Se9 0.722 0.278 0.257
Se10 0.810 0.869 0.290
Se11 0.869 0.810 0.790
Se12 0.940 0.405 0.817

Summary:
* uncorrected energy: -143.469 eV/cell



The following is a DFT calculation (PBE) of an optimized crystal structure of NpTeHSe.

a b c (Å): 3.854 3.854 7.519
angles (deg): 104.99 104.99 60.00
Fractional positions:
Np1 0.000 0.000 0.000
Te1 0.235 0.235 0.709
H1 0.661 0.661 0.984
Se1 0.414 0.414 0.239

Summary:
* uncorrected energy: -25.138 eV/cell



The following is a DFT calculation (PBE) of an optimized crystal structure of Np2TeH2Se.

a b c (Å): 3.939 3.939 8.139
angles (deg): 90.00 90.00 120.00
Fractional positions:
Np1 0.333 0.667 0.233
Np2 0.667 0.333 0.767
Te1 0.000 0.000 0.500
H1 0.333 0.667 0.758
H2 0.667 0.333 0.242
Se1 0.000 0.000 0.000

Summary:
* uncorrected energy: -43.543 eV/cell



The following is a DFT calculation (PBE) of an optimized crystal structure of NpTlHSe3.

a b c (Å): 9.181 3.844 9.530
angles (deg): 90.00 104.92 90.00
Fractional positions:
Np1 0.175 0.250 0.155
Np2 0.825 0.750 0.845
Tl1 0.323 0.750 0.760
Tl2 0.677 0.250 0.240
H1 0.269 0.750 0.423
H2 0.731 0.250 0.577
Se1 0.052 0.250 0.848
Se2 0.280 0.250 0.451
Se3 0.377 0.750 0.116
Se4 0.623 0.250 0.884
Se5 0.720 0.750 0.549
Se6 0.948 0.750 0.152

Summary:
* uncorrected energy: -64.369 eV/cell



Repeat the fifth record exactly.
The following is a DFT calculation (PBE) of an optimized crystal structure of NpHSe2.

a b c (Å): 9.194 9.194 5.688
angles (deg): 90.00 90.00 153.32
Fractional positions:
Np1 0.187 0.813 0.500
Np2 0.813 0.187 0.000
H1 0.468 0.532 0.158
H2 0.532 0.468 0.658
Se1 0.203 0.797 0.999
Se2 0.424 0.576 0.930
Se3 0.576 0.424 0.430
Se4 0.797 0.203 0.499

Summary:
* excess energy over the best structure of this formula in the dataset: 0 meV per atom